(w)
4
Lattice="3.424 -1.951 0.000 3.424 1.951 0.000 -2.182 0.000 6.813" Properties=species:S:1:pos:R:3 comment="Sb2PtAu, relaxed, DFT PBE" spacegroup="No. 12" crystal_system=monoclinic pbc="T T T"
Sb 1.154 0.000 1.530
Sb 3.511 0.000 5.282
Pt 3.424 0.000 0.000
Au -1.091 0.000 3.406



(x)
4
Lattice="3.499 0.000 0.000 0.000 3.546 0.000 0.000 0.000 7.404" Properties=species:S:1:pos:R:3 comment="Sb2PtAu, relaxed, DFT PBE" spacegroup="No. 25" crystal_system=orthorhombic pbc="T T T"
Sb 0.000 0.000 0.000
Sb 1.749 1.773 3.054
Pt 1.749 1.773 6.090
Au 0.000 0.000 4.464



Here is how they stack up, most stable first: (w), (x).



(w)
4
Lattice="4.489 -1.594 0.000 4.489 1.594 0.000 -1.481 0.000 5.755" Properties=species:S:1:pos:R:3 comment="SrCr2W, relaxed, DFT PBE" spacegroup="No. 8" crystal_system=monoclinic pbc="T T T"
Sr 0.000 0.000 0.000
Cr 3.640 0.000 2.798
Cr 6.558 0.000 2.147
W 0.918 0.000 3.511



(x)
4
Lattice="3.293 0.000 0.000 0.000 4.536 0.000 0.000 0.000 5.090" Properties=species:S:1:pos:R:3 comment="SrCr2W, relaxed, DFT PBE" spacegroup="No. 47" crystal_system=orthorhombic pbc="T T T"
Sr 0.000 0.000 0.000
Cr 0.000 2.268 2.545
Cr 1.646 2.268 0.000
W 1.646 0.000 2.545



Here is how they stack up, most stable first: (w), (x).



(w)
4
Lattice="0.000 3.626 3.626 3.626 0.000 3.626 3.626 3.626 0.000" Properties=species:S:1:pos:R:3 comment="SrReSe2, relaxed, DFT PBE" spacegroup="No. 216" crystal_system=cubic pbc="T T T"
Sr 0.000 0.000 0.000
Re 1.813 1.813 1.813
Se 3.626 3.626 3.626
Se 5.439 5.439 5.439



(x)
4
Lattice="2.334 1.348 7.980 -2.334 1.348 7.980 0.000 -2.695 7.980" Properties=species:S:1:pos:R:3 comment="SrReSe2, relaxed, DFT PBE" spacegroup="No. 166" crystal_system=trigonal pbc="T T T"
Sr 0.000 0.000 0.000
Re 0.000 0.000 11.970
Se 0.000 0.000 9.546
Se 0.000 0.000 14.394



Here is how they stack up, most stable first: (x), (w).